[1]
An optimized crystal structure of K2Sc2UTe6, computed with PBE. Values from VASP.

## Properties
For the total energy, the calculation gives -5.18 eV/atom.

```
&SYSTEM
  ibrav = 0, nat = 11, ntyp = 4
/
ATOMIC_SPECIES
K 39.10 K.upf
Sc 44.96 Sc.upf
U 238.03 U.upf
Te 127.60 Te.upf
CELL_PARAMETERS angstrom
3.7041 -6.4474 0.0000
3.7041 6.4474 0.0000
-2.4340 0.0000 8.4388
ATOMIC_POSITIONS angstrom
K 3.7041 4.3384 0.0000
K 3.7041 -4.3384 0.0000
Sc 2.4871 2.1650 4.2194
Sc 2.4871 -2.1650 4.2194
U -1.2170 0.0000 4.2194
Te 0.0592 2.2010 5.9094
Te 1.3426 0.0000 2.5390
Te 0.0592 -2.2010 5.9094
Te 4.9150 2.2010 2.5293
Te 3.6316 0.0000 5.8998
Te 4.9150 -2.2010 2.5293
```

***

[2]
An optimized crystal structure of K2ScU2Te6, computed with PBE. Values from VASP.

## Properties
For the total energy, the calculation gives -5.49 eV/atom.

```
&SYSTEM
  ibrav = 0, nat = 11, ntyp = 4
/
ATOMIC_SPECIES
K 39.10 K.upf
Sc 44.96 Sc.upf
U 238.03 U.upf
Te 127.60 Te.upf
CELL_PARAMETERS angstrom
3.7814 -6.5285 0.0000
3.7814 6.5285 0.0000
-2.5871 0.0000 8.4575
ATOMIC_POSITIONS angstrom
K 3.7814 4.3162 0.0000
K 3.7814 -4.3162 0.0000
Sc -1.2936 0.0000 4.2288
U 2.4879 2.1872 4.2288
U 2.4879 -2.1872 4.2288
Te -0.0651 2.0869 5.9616
Te 1.1500 0.0000 2.5112
Te -0.0651 -2.0869 5.9616
Te 5.0409 2.0869 2.4959
Te 3.8258 0.0000 5.9464
Te 5.0409 -2.0869 2.4959
```

***

[3]
An optimized crystal structure of K3Sc2UTe6, computed with PBE. Values from VASP.

## Properties
For the total energy, the calculation gives -4.95 eV/atom.

```
&SYSTEM
  ibrav = 0, nat = 12, ntyp = 4
/
ATOMIC_SPECIES
K 39.10 K.upf
Sc 44.96 Sc.upf
U 238.03 U.upf
Te 127.60 Te.upf
CELL_PARAMETERS angstrom
3.8033 -6.5879 0.0000
3.8033 6.5879 0.0000
-2.5425 0.0000 8.2187
ATOMIC_POSITIONS angstrom
K 0.0000 0.0000 0.0000
K 3.8033 2.1445 0.0000
K 3.8033 -2.1445 0.0000
Sc 2.5321 4.3875 4.1094
Sc 2.5321 -4.3875 4.1094
U 2.5321 0.0000 4.1094
Te 1.2099 2.2865 2.4398
Te -0.1101 0.0000 5.7682
Te 1.2099 -2.2865 2.4398
Te 3.8543 2.2865 5.7789
Te 5.1743 0.0000 2.4505
Te 3.8543 -2.2865 5.7789
```

***

[4]
An optimized crystal structure of K2ScUTe4, computed with PBE. Values from VASP.

## Properties
For the total energy, the calculation gives -5.08 eV/atom.

```
&SYSTEM
  ibrav = 0, nat = 8, ntyp = 4
/
ATOMIC_SPECIES
K 39.10 K.upf
Sc 44.96 Sc.upf
U 238.03 U.upf
Te 127.60 Te.upf
CELL_PARAMETERS angstrom
7.6336 0.0000 0.0000
0.0000 4.4137 0.0000
-2.5471 0.0000 8.2580
ATOMIC_POSITIONS angstrom
K 0.0000 0.0000 0.0000
K 3.8168 2.2069 0.0000
Sc -1.2736 2.2069 4.1290
U 2.5432 0.0000 4.1290
Te -0.0905 0.0000 5.7943
Te 1.1798 2.2069 2.4049
Te 3.9066 2.2069 5.8531
Te 5.1769 0.0000 2.4637
```

***

[5]
An optimized crystal structure of K3Sc3VTe8, computed with PBE. Values from VASP.

## Properties
For the total energy, the calculation gives -4.79 eV/atom.

```
&SYSTEM
  ibrav = 0, nat = 15, ntyp = 4
/
ATOMIC_SPECIES
K 39.10 K.upf
Sc 44.96 Sc.upf
V 50.94 V.upf
Te 127.60 Te.upf
CELL_PARAMETERS angstrom
7.1736 -4.1302 0.0000
7.1736 4.1302 0.0000
-4.7954 0.0000 8.5221
ATOMIC_POSITIONS angstrom
K 0.0000 0.0000 0.0000
K 3.5868 2.0651 0.0000
K 3.5868 -2.0651 0.0000
Sc 1.1891 2.0651 4.2610
Sc 1.1891 -2.0651 4.2610
Sc 4.7759 0.0000 4.2610
V -2.3977 0.0000 4.2610
Te -0.0946 0.0000 5.8943
Te 3.6212 2.1398 5.8944
Te 5.9306 2.1398 2.6277
Te 2.3873 0.0000 2.5580
Te 7.1645 0.0000 5.9640
Te 3.6212 -2.1398 5.8944
Te 5.9306 -2.1398 2.6277
Te 9.6464 0.0000 2.6278
```

***

[6]
An optimized crystal structure of KScZnTe3, computed with PBE. Values from VASP.

## Properties
For the total energy, the calculation gives -4.00 eV/atom.

```
&SYSTEM
  ibrav = 0, nat = 12, ntyp = 4
/
ATOMIC_SPECIES
K 39.10 K.upf
Sc 44.96 Sc.upf
Zn 65.41 Zn.upf
Te 127.60 Te.upf
CELL_PARAMETERS angstrom
9.4818 0.0000 0.0000
0.0000 4.2731 0.0000
-3.5391 0.0000 9.7979
ATOMIC_POSITIONS angstrom
K 1.1399 1.0683 2.3740
K 4.8028 3.2048 7.4239
Sc 0.0906 3.2048 8.4557
Sc 5.8521 1.0683 1.3421
Zn -1.3667 1.0683 5.9212
Zn 7.3094 3.2048 3.8767
Te -1.9759 1.0683 8.4783
Te 0.1906 3.2048 5.3279
Te 3.8427 3.2048 1.5457
Te 2.1000 1.0683 8.2522
Te 5.7521 1.0683 4.4700
Te 7.9186 3.2048 1.3196
```

***

[7]
An optimized crystal structure of K3Sc3ZnTe8, computed with PBE. Values from VASP.

## Properties
For the total energy, the calculation gives -4.21 eV/atom.

```
&SYSTEM
  ibrav = 0, nat = 15, ntyp = 4
/
ATOMIC_SPECIES
K 39.10 K.upf
Sc 44.96 Sc.upf
Zn 65.41 Zn.upf
Te 127.60 Te.upf
CELL_PARAMETERS angstrom
7.1281 -4.2407 0.0000
7.1281 4.2407 0.0000
-4.6104 0.0000 8.4657
ATOMIC_POSITIONS angstrom
K 0.0000 0.0000 0.0000
K 3.5641 2.1204 0.0000
K 3.5641 -2.1204 0.0000
Sc 1.2588 2.1204 4.2328
Sc 1.2588 -2.1204 4.2328
Sc 4.8229 0.0000 4.2328
Zn -2.3052 0.0000 4.2328
Te -0.1350 0.0000 5.7578
Te 3.5403 1.9008 5.9989
Te 2.4026 0.0000 2.5338
Te 6.1055 1.9008 2.4667
Te 3.5403 -1.9008 5.9989
Te 7.2432 0.0000 5.9319
Te 6.1055 -1.9008 2.4667
Te 9.7808 0.0000 2.7079
```

***

[8]
An optimized crystal structure of K2ZrSc2Te6, computed with PBE. Values from VASP.

## Properties
For the total energy, the calculation gives -5.00 eV/atom.

```
&SYSTEM
  ibrav = 0, nat = 11, ntyp = 4
/
ATOMIC_SPECIES
K 39.10 K.upf
Zr 91.22 Zr.upf
Sc 44.96 Sc.upf
Te 127.60 Te.upf
CELL_PARAMETERS angstrom
3.6305 -6.2832 0.0000
3.6305 6.2832 0.0000
-2.4291 0.0000 8.4659
ATOMIC_POSITIONS angstrom
K 3.6305 4.1910 0.0000
K 3.6305 -4.1910 0.0000
Zr -1.2145 0.0000 4.2329
Sc 2.4160 2.1116 4.2329
Sc 2.4160 -2.1116 4.2329
Te 0.0018 2.0686 5.9151
Te 1.2141 0.0000 2.5622
Te 0.0018 -2.0686 5.9151
Te 4.8303 2.0686 2.5507
Te 3.6179 0.0000 5.9037
Te 4.8303 -2.0686 2.5507
```

***

[9]
An optimized crystal structure of KScTi2, computed with PBE. Values from VASP.

## Properties
For the total energy, the calculation gives -4.47 eV/atom. For the formation energy, the calculation gives 1.336 eV/atom. Its energy relative to the lowest polymorph listed for this composition is 198 meV per atom.

```
&SYSTEM
  ibrav = 0, nat = 16, ntyp = 3
/
ATOMIC_SPECIES
K 39.10 K.upf
Sc 44.96 Sc.upf
Ti 47.87 Ti.upf
CELL_PARAMETERS angstrom
4.7110 0.0000 0.0000
0.0000 4.7110 0.0000
0.0000 0.0000 21.7626
ATOMIC_POSITIONS angstrom
K 0.0000 1.1778 8.1610
K 0.0000 3.5333 13.6016
K 2.3555 1.1778 2.7203
K 2.3555 3.5333 19.0423
Sc 0.0000 1.1778 19.0423
Sc 0.0000 3.5333 2.7203
Sc 2.3555 1.1778 13.6016
Sc 2.3555 3.5333 8.1610
Ti 0.0000 0.0000 0.0000
Ti 0.0000 2.3555 0.0000
Ti 1.1778 1.1778 16.3220
Ti 1.1778 3.5333 5.4407
Ti 2.3555 0.0000 10.8813
Ti 2.3555 2.3555 10.8813
Ti 3.5333 1.1778 16.3220
Ti 3.5333 3.5333 5.4407
```

***

[10]
An optimized crystal structure of KScTi3, computed with PBE. Values from VASP.

## Properties
For the total energy, the calculation gives -4.87 eV/atom. For the formation energy, the calculation gives 1.352 eV/atom. Its energy relative to the lowest polymorph listed for this composition is 0 meV per atom.

```
&SYSTEM
  ibrav = 0, nat = 5, ntyp = 3
/
ATOMIC_SPECIES
K 39.10 K.upf
Sc 44.96 Sc.upf
Ti 47.87 Ti.upf
CELL_PARAMETERS angstrom
5.0899 0.0000 0.0000
0.0000 5.0899 0.0000
0.0000 0.0000 5.0899
ATOMIC_POSITIONS angstrom
K 0.0000 0.0000 0.0000
Sc 2.5449 2.5449 2.5449
Ti 0.0000 2.5449 2.5449
Ti 2.5449 0.0000 2.5449
Ti 2.5449 2.5449 0.0000
```

***

[11]
An optimized crystal structure of K3ScTi, computed with PBE. Values from VASP.

## Properties
For the total energy, the calculation gives -1.93 eV/atom. For the formation energy, the calculation gives 1.575 eV/atom.

```
&SYSTEM
  ibrav = 0, nat = 5, ntyp = 3
/
ATOMIC_SPECIES
K 39.10 K.upf
Sc 44.96 Sc.upf
Ti 47.87 Ti.upf
CELL_PARAMETERS angstrom
6.7401 0.0000 0.0000
0.0000 6.7401 0.0000
0.0000 0.0000 6.7401
ATOMIC_POSITIONS angstrom
K 0.0000 0.0000 3.3701
K 0.0000 3.3701 0.0000
K 3.3701 0.0000 0.0000
Sc 0.0000 0.0000 0.0000
Ti 3.3701 3.3701 3.3701
```

***

[12]
An optimized crystal structure of KScTi2, computed with PBE. Values from VASP.

## Properties
For the total energy, the calculation gives -4.67 eV/atom. For the formation energy, the calculation gives 1.138 eV/atom. Its energy relative to the lowest polymorph listed for this composition is 0 meV per atom.

```
&SYSTEM
  ibrav = 0, nat = 16, ntyp = 3
/
ATOMIC_SPECIES
K 39.10 K.upf
Sc 44.96 Sc.upf
Ti 47.87 Ti.upf
CELL_PARAMETERS angstrom
7.4303 0.0000 0.0000
0.0000 7.4303 0.0000
0.0000 0.0000 7.4303
ATOMIC_POSITIONS angstrom
K 0.0000 0.0000 0.0000
K 0.0000 3.7151 3.7151
K 3.7151 0.0000 3.7151
K 3.7151 3.7151 0.0000
Sc 0.0000 0.0000 3.7151
Sc 0.0000 3.7151 0.0000
Sc 3.7151 0.0000 0.0000
Sc 3.7151 3.7151 3.7151
Ti 1.8576 1.8576 1.8576
Ti 1.8576 1.8576 5.5727
Ti 1.8576 5.5727 1.8576
Ti 1.8576 5.5727 5.5727
Ti 5.5727 1.8576 1.8576
Ti 5.5727 1.8576 5.5727
Ti 5.5727 5.5727 1.8576
Ti 5.5727 5.5727 5.5727
```